Here is crystalline PuPaBe at its relaxed geometry from the Open Quantum Materials Database. Energies are from PBE-GGA.

a b c (Å): 4.246 4.246 4.246
angles (deg): 60.00 60.00 60.00
Last column: magnetic moment on the atom in μB.
Fractional coordinates of all 3 atoms:
1 Pu 0.750 0.750 0.750  4.60
2 Pa 0.250 0.250 0.250  0.20
3 Be 0.000 0.000 0.000  -0.07

Results
- Space-group type: F-43m, No. 216
- E_tot: -8.62 eV per atom


Here is crystalline ErPuMo at its relaxed geometry from the Open Quantum Materials Database. Energies are from PBE-GGA.

a b c (Å): 4.661 4.661 4.661
angles (deg): 60.00 60.00 60.00
Last column: magnetic moment on the atom in μB.
Fractional coordinates of all 3 atoms:
1 Er 0.750 0.750 0.750  0.14
2 Pu 0.250 0.250 0.250  5.05
3 Mo 0.000 0.000 0.000  -0.70

Results
- Energy of formation: 0.587 eV per atom
- Space-group type: F-43m, No. 216


Here is crystalline KTe5W3 at its relaxed geometry from the Open Quantum Materials Database. Energies are from PBE-GGA.

a b c (Å): 5.945 5.945 8.465
angles (deg): 90.00 90.00 120.00
Last column: magnetic moment on the atom in μB.
Fractional coordinates of all 9 atoms:
1 Te 0.333 0.667 0.242  0.00
2 Te 0.667 0.333 0.242  0.00
3 Te 0.667 0.333 0.758  0.00
4 Te 0.333 0.667 0.758  0.00
5 Te 0.000 0.000 0.500  0.09
6 W 0.500 0.000 0.500  0.63
7 W 0.500 0.500 0.500  0.58
8 W 0.000 0.500 0.500  0.84
9 K 0.000 0.000 0.000  0.00

Results
- Space-group type: P6/mmm, No. 191
- E_tot: -6.01 eV per atom